Density functional theory data (PBE) for NbV2Rh4 after structural relaxation.

abc: 4.341 4.341 12.697
angles: 90.00 90.00 118.49
Fractional positions:
Nb  0.012  0.988  0.750
Nb  0.988  0.012  0.250
V  0.339  0.661  0.559
V  0.339  0.661  0.941
V  0.661  0.339  0.059
V  0.661  0.339  0.441
Rh  0.000  0.000  0.000
Rh  0.000  0.000  0.500
Rh  0.317  0.683  0.134
Rh  0.317  0.683  0.366
Rh  0.351  0.649  0.750
Rh  0.649  0.351  0.250
Rh  0.683  0.317  0.634
Rh  0.683  0.317  0.866

Results
As for the formation energy: -0.24 eV per atom. The calculation puts the energy above the most stable polymorph in this dataset at 0.00 eV per formula unit.

***

Density functional theory data (PBE) for Ba2ErMg after structural relaxation.

abc: 13.436 13.436 13.436
angles: 16.02 16.02 16.02
Fractional positions:
Ba  0.089  0.089  0.089
Ba  0.911  0.911  0.911
Er  0.000  0.000  0.000
Mg  0.500  0.500  0.500

Results
As for the formation energy: 0.37 eV per atom.

***

Density functional theory data (PBE) for SrLaRe3 after structural relaxation.

abc: 4.978 4.978 4.978
angles: 90.00 90.00 90.00
Fractional positions:
Sr  0.000  0.000  0.000
La  0.500  0.500  0.500
Re  0.000  0.500  0.500
Re  0.500  0.000  0.500
Re  0.500  0.500  0.000

Results
As for the formation energy: 2.38 eV per atom. The calculation puts the energy above the most stable polymorph in this dataset at 0.00 eV per formula unit.

***

Density functional theory data (PBE) for LuScGa2 after structural relaxation.

abc: 4.853 4.853 4.853
angles: 60.00 60.00 60.00
Fractional positions:
Lu  0.000  0.000  0.000
Sc  0.500  0.500  0.500
Ga  0.250  0.250  0.250
Ga  0.750  0.750  0.750

Results
As for the formation energy: -0.57 eV per atom. The calculation puts the energy above the most stable polymorph in this dataset at 0.01 eV per formula unit.